Li4NpW3N8 after structural relaxation. Source: Alexandria, functional PBE.

## Properties
Total energy (eV/atom): -8.499
DOS(E_F) (states/eV per cell): 9.170
Calculated density (Mg/m³): 9.1

Unit cell a=6.2540 b=6.2540 c=6.2540 alpha=59.07 beta=59.07 gamma=59.07
Fractional coordinates of all 16 atoms:
Li  0.0000  0.0000  0.0000
Li  0.0000  0.5000  0.5000
Li  0.5000  0.0000  0.5000
Li  0.5000  0.5000  0.0000
Np  0.5000  0.5000  0.5000
W  0.0000  0.0000  0.5000
W  0.0000  0.5000  0.0000
W  0.5000  0.0000  0.0000
N  0.2304  0.7465  0.7465
N  0.2413  0.2413  0.2413
N  0.2535  0.2535  0.7696
N  0.2535  0.7696  0.2535
N  0.7465  0.2304  0.7465
N  0.7465  0.7465  0.2304
N  0.7587  0.7587  0.7587
N  0.7696  0.2535  0.2535

=====

Li4Np3WN8 after structural relaxation. Source: Alexandria, functional PBE.

## Properties
Total energy (eV/atom): -8.684
DOS(E_F) (states/eV per cell): 15.757
Calculated density (Mg/m³): 8.8

Unit cell a=6.3766 b=6.3766 c=6.3869 alpha=117.29 beta=117.29 gamma=62.81
Fractional coordinates of all 16 atoms:
Li  0.0000  0.0000  0.0000
Li  0.0000  0.5000  0.5000
Li  0.5000  0.0000  0.5000
Li  0.5000  0.5000  0.0000
Np  0.0000  0.0000  0.5000
Np  0.0000  0.5000  0.0000
Np  0.5000  0.0000  0.0000
W  0.5000  0.5000  0.5000
N  0.2388  0.2388  0.7618
N  0.2569  0.7282  0.2723
N  0.2715  0.2715  0.2560
N  0.2718  0.7431  0.7277
N  0.7282  0.2569  0.2723
N  0.7285  0.7285  0.7440
N  0.7431  0.2718  0.7277
N  0.7612  0.7612  0.2382

=====

Li3Np2WN6 after structural relaxation. Source: Alexandria, functional PBE.

## Properties
Total energy (eV/atom): -8.678
DOS(E_F) (states/eV per cell): 10.113
Calculated density (Mg/m³): 8.8

Unit cell a=5.7268 b=5.7268 c=5.3752 alpha=98.86 beta=98.86 gamma=120.93
Fractional coordinates of all 12 atoms:
Li  0.0000  0.0000  0.0000
Li  0.3618  0.6382  0.0000
Li  0.6382  0.3618  0.0000
Np  0.1671  0.8329  0.5000
Np  0.8329  0.1671  0.5000
W  0.5000  0.5000  0.5000
N  0.1235  0.4320  0.2865
N  0.2494  0.2494  0.7173
N  0.4320  0.1235  0.2865
N  0.5680  0.8765  0.7135
N  0.7506  0.7506  0.2827
N  0.8765  0.5680  0.7135

=====

Li3Np3WN8 after structural relaxation. Source: Alexandria, functional PBE.

## Properties
Total energy (eV/atom): -9.042
DOS(E_F) (states/eV per cell): 15.403
Calculated density (Mg/m³): 8.8

Unit cell a=6.3456 b=6.3456 c=6.3456 alpha=63.33 beta=63.33 gamma=63.33
Fractional coordinates of all 15 atoms:
Li  0.0000  0.5000  0.5000
Li  0.5000  0.0000  0.5000
Li  0.5000  0.5000  0.0000
Np  0.0000  0.0000  0.5000
Np  0.0000  0.5000  0.0000
Np  0.5000  0.0000  0.0000
W  0.5000  0.5000  0.5000
N  0.2388  0.2388  0.2388
N  0.2568  0.7241  0.7241
N  0.2759  0.2759  0.7432
N  0.2759  0.7432  0.2759
N  0.7241  0.2568  0.7241
N  0.7241  0.7241  0.2568
N  0.7432  0.2759  0.2759
N  0.7612  0.7612  0.7612

=====

LiYNpN3 after structural relaxation. Source: Alexandria, functional PBE.

## Properties
Total energy (eV/atom): -8.762
DOS(E_F) (states/eV per cell): 8.969
Calculated density (Mg/m³): 7.8

Unit cell a=6.8117 b=3.4067 c=7.0397 alpha=90.00 beta=102.51 gamma=90.00
Fractional coordinates of all 12 atoms:
Li  0.0799  0.2500  0.0732
Li  0.9201  0.7500  0.9268
Y  0.2865  0.7500  0.8210
Y  0.7135  0.2500  0.1790
Np  0.3191  0.7500  0.3272
Np  0.6809  0.2500  0.6728
N  0.0169  0.7500  0.2102
N  0.3618  0.2500  0.1145
N  0.3662  0.2500  0.5843
N  0.6338  0.7500  0.4157
N  0.6382  0.7500  0.8855
N  0.9831  0.2500  0.7898

=====

Li2YNp3N6 after structural relaxation. Source: Alexandria, functional PBE.

## Properties
Total energy (eV/atom): -9.326
DOS(E_F) (states/eV per cell): 16.344
Calculated density (Mg/m³): 9.0

Unit cell a=7.3729 b=7.3729 c=6.7743 alpha=99.91 beta=99.91 gamma=27.21
Fractional coordinates of all 12 atoms:
Li  0.1585  0.1585  0.3441
Li  0.8415  0.8415  0.6559
Y  0.5000  0.5000  0.0000
Np  0.1760  0.1760  0.8133
Np  0.5000  0.5000  0.5000
Np  0.8240  0.8240  0.1867
N  0.0092  0.0092  0.7432
N  0.3288  0.3288  0.9687
N  0.3429  0.3429  0.4105
N  0.6571  0.6571  0.5895
N  0.6712  0.6712  0.0313
N  0.9908  0.9908  0.2568

=====

LiY2NpN4 after structural relaxation. Source: Alexandria, functional PBE.

## Properties
Total energy (eV/atom): -8.955
DOS(E_F) (states/eV per cell): 3.690
Calculated density (Mg/m³): 7.1

Unit cell a=6.0293 b=6.0293 c=6.0293 alpha=134.08 beta=134.08 gamma=66.96
Fractional coordinates of all 8 atoms:
Li  0.0000  0.0000  0.0000
Y  0.2500  0.7500  0.5000
Y  0.7500  0.2500  0.5000
Np  0.5000  0.5000  0.0000
N  0.0000  0.5000  0.5000
N  0.2886  0.2886  0.0000
N  0.5000  0.0000  0.5000
N  0.7114  0.7114  0.0000

=====

LiZrNp2N4 after structural relaxation. Source: Alexandria, functional PBE.

## Properties
Total energy (eV/atom): -9.834
DOS(E_F) (states/eV per cell): 10.216
Calculated density (Mg/m³): 9.8

Unit cell a=5.7112 b=3.3823 c=5.8279 alpha=90.00 beta=109.41 gamma=90.00
Fractional coordinates of all 8 atoms:
Li  0.0000  0.0000  0.0000
Zr  0.0000  0.5000  0.5000
Np  0.5000  0.0000  0.5000
Np  0.5000  0.5000  0.0000
N  0.2476  0.0000  0.7403
N  0.2683  0.5000  0.2769
N  0.7317  0.5000  0.7231
N  0.7524  0.0000  0.2597

=====

LiZr3Np2N6 after structural relaxation. Source: Alexandria, functional PBE.

## Properties
Total energy (eV/atom): -9.998
DOS(E_F) (states/eV per cell): 11.458
Calculated density (Mg/m³): 9.1

Unit cell a=7.3366 b=7.3366 c=6.7118 alpha=104.30 beta=104.30 gamma=25.95
Fractional coordinates of all 12 atoms:
Li  0.0000  0.0000  0.0000
Zr  0.0000  0.0000  0.5000
Zr  0.3393  0.3393  0.1665
Zr  0.6607  0.6607  0.8335
Np  0.3379  0.3379  0.6763
Np  0.6621  0.6621  0.3237
N  0.1641  0.1641  0.5917
N  0.1673  0.1673  0.0789
N  0.4981  0.4981  0.7341
N  0.5019  0.5019  0.2659
N  0.8327  0.8327  0.9211
N  0.8359  0.8359  0.4083

=====

LiZr2Np3N6 after structural relaxation. Source: Alexandria, functional PBE.

## Properties
Total energy (eV/atom): -10.224
DOS(E_F) (states/eV per cell): 15.582
Calculated density (Mg/m³): 10.3

Unit cell a=7.4244 b=7.4244 c=6.6765 alpha=101.74 beta=101.74 gamma=26.08
Fractional coordinates of all 12 atoms:
Li  0.0000  0.0000  0.0000
Zr  0.3308  0.3308  0.6632
Zr  0.6692  0.6692  0.3368
Np  0.0000  0.0000  0.5000
Np  0.3387  0.3387  0.1606
Np  0.6613  0.6613  0.8394
N  0.1668  0.1668  0.5796
N  0.1687  0.1687  0.0908
N  0.4974  0.4974  0.7290
N  0.5026  0.5026  0.2710
N  0.8313  0.8313  0.9092
N  0.8332  0.8332  0.4204

=====

LiZr2NpN4 after structural relaxation. Source: Alexandria, functional PBE.

## Properties
Total energy (eV/atom): -9.482
DOS(E_F) (states/eV per cell): 6.235
Calculated density (Mg/m³): 8.1

Unit cell a=5.7234 b=5.7234 c=5.7234 alpha=132.97 beta=132.97 gamma=68.70
Fractional coordinates of all 8 atoms:
Li  0.0000  0.0000  0.0000
Zr  0.2500  0.7500  0.5000
Zr  0.7500  0.2500  0.5000
Np  0.5000  0.5000  0.0000
N  0.0000  0.5000  0.5000
N  0.2613  0.2613  0.0000
N  0.5000  0.0000  0.5000
N  0.7387  0.7387  0.0000

=====

LiZrNpN3 after structural relaxation. Source: Alexandria, functional PBE.

## Properties
Total energy (eV/atom): -9.088
DOS(E_F) (states/eV per cell): 11.209
Calculated density (Mg/m³): 8.5

Unit cell a=6.6690 b=3.2074 c=7.0322 alpha=90.00 beta=102.89 gamma=90.00
Fractional coordinates of all 12 atoms:
Li  0.0883  0.2500  0.0824
Li  0.9117  0.7500  0.9176
Zr  0.3185  0.7500  0.3436
Zr  0.6815  0.2500  0.6564
Np  0.2812  0.7500  0.8133
Np  0.7188  0.2500  0.1867
N  0.0200  0.2500  0.8002
N  0.3336  0.2500  0.5695
N  0.3775  0.2500  0.1266
N  0.6225  0.7500  0.8734
N  0.6664  0.7500  0.4305
N  0.9800  0.7500  0.1998